Entry 1:
Compound: NaSiIr2Pd
Source: Alexandria
Functional: PBE-GGA
Structure: optimized geometry

SG: P4/mmm
Uncorrected formation energy, eV per formula unit: 10.18

Lattice parameters (Å, degrees): 4.515 4.416 4.515 90.00 90.00 90.00
Fractional coordinates of all 5 atoms:
Na1 0.000 0.000 0.000
Si1 0.000 0.500 0.000
Ir1 0.000 0.000 0.500
Ir2 0.500 0.000 0.000
Pd1 0.500 0.500 0.500

***

Entry 2:
Compound: NaSnIrPd
Source: Alexandria
Functional: PBE-GGA
Structure: optimized geometry

SG: F-43m
Energy relative to the elements, kcal/mol of atoms: -2.77

Lattice parameters (Å, degrees): 4.578 4.578 4.578 60.00 60.00 60.00
Fractional coordinates of all 4 atoms:
Na1 0.000 0.000 0.000
Ir1 0.250 0.250 0.250
Sn1 0.500 0.500 0.500
Pd1 0.750 0.750 0.750

***

Entry 3:
Compound: Na2TiIrPd
Source: Alexandria
Functional: PBE-GGA
Structure: optimized geometry

SG: P4/mmm
Energy relative to the elements, kcal/mol of atoms: 36.04

Lattice parameters (Å, degrees): 4.995 4.517 4.995 90.00 90.00 90.00
Site moments in Bohr magnetons follow the coordinates.
Fractional coordinates of all 5 atoms:
Na1 0.000 0.000 0.500  0.02
Na2 0.500 0.000 0.000  0.02
Ir1 0.500 0.500 0.500  0.10
Pd1 0.000 0.500 0.000  -0.03
Ti1 0.000 0.000 0.000  1.31

***

no.,size of the total moment (Bohr magnetons per cell),final energy (eV/atom),D(E_F) (states/eV/f.u.)
1,0.01,-3.89,5.67
2,0.00,-4.96,1.48
3,1.71,-3.35,5.61